Below is BaMgPtPb after structural relaxation, with properties calculated at the PBE-GGA level.

abc: 7.484 7.484 7.484
angles: 90.00 90.00 90.00
Space group F-43m (No. 216)
Inequivalent atoms, fractional coordinates:
Ba  0.000  0.000  0.000 (multiplicity 4)
Mg  0.250  0.250  0.750 (multiplicity 4)
Pt  0.250  0.250  0.250 (multiplicity 4)
Pb  0.000  0.000  0.500 (multiplicity 4)

energy above the lowest structure with this stoichiometry: 0.0000 eV/atom

***

Below is BaMg2PtPb after structural relaxation, with properties calculated at the PBE-GGA level.

abc: 4.720 4.720 12.222
angles: 90.00 90.00 90.00
Space group I4mm (No. 107)
Inequivalent atoms, fractional coordinates:
Ba  0.000  0.000  0.000 (multiplicity 2)
Mg  0.000  0.500  0.237 (multiplicity 4)
Pt  0.000  0.000  0.624 (multiplicity 2)
Pb  0.000  0.000  0.391 (multiplicity 2)

E_tot: -3.477 eV/atom

***

Below is BaMgPtPb after structural relaxation, with properties calculated at the PBE-GGA level.

abc: 7.558 7.558 7.558
angles: 90.00 90.00 90.00
Space group F-43m (No. 216)
Inequivalent atoms, fractional coordinates:
Ba  0.000  0.000  0.000 (multiplicity 4)
Mg  0.000  0.000  0.500 (multiplicity 4)
Pt  0.250  0.250  0.750 (multiplicity 4)
Pb  0.250  0.250  0.250 (multiplicity 4)

energy above the lowest structure with this stoichiometry: 0.0026 eV/atom

***

Below is BaMgPtPb after structural relaxation, with properties calculated at the PBE-GGA level.

abc: 7.422 7.422 7.422
angles: 90.00 90.00 90.00
Space group F-43m (No. 216)
Inequivalent atoms, fractional coordinates:
Ba  0.000  0.000  0.000 (multiplicity 4)
Mg  0.250  0.250  0.250 (multiplicity 4)
Pt  0.000  0.000  0.500 (multiplicity 4)
Pb  0.250  0.250  0.750 (multiplicity 4)

energy above the lowest structure with this stoichiometry: 0.0182 eV/atom

***

Below is BaMgPtPb2 after structural relaxation, with properties calculated at the PBE-GGA level.

abc: 4.902 4.902 12.015
angles: 90.00 90.00 90.00
Space group P4/nmm (No. 129, origin choice 2)
Inequivalent atoms, fractional coordinates:
Ba  0.250  0.250  0.237 (multiplicity 2)
Mg  0.250  0.750  0.500 (multiplicity 2)
Pt  0.250  0.250  0.880 (multiplicity 2)
Pb  0.250  0.250  0.649 (multiplicity 2)
Pb  0.250  0.750  0.000 (multiplicity 2)

E_tot: -3.871 eV/atom

***

Below is BaMgPd after structural relaxation, with properties calculated at the PBE-GGA level.

abc: 7.586 7.586 7.586
angles: 90.00 90.00 90.00
Space group F-43m (No. 216)
Inequivalent atoms, fractional coordinates:
Ba  0.000  0.000  0.000 (multiplicity 4)
Mg  0.250  0.250  0.750 (multiplicity 4)
Pd  0.250  0.250  0.250 (multiplicity 4)

E_tot: -2.581 eV/atom

***

Below is BaMgPd after structural relaxation, with properties calculated at the PBE-GGA level.

abc: 7.237 7.237 7.237
angles: 90.00 90.00 90.00
Space group F-43m (No. 216)
Inequivalent atoms, fractional coordinates:
Ba  0.000  0.000  0.000 (multiplicity 4)
Mg  0.250  0.250  0.250 (multiplicity 4)
Pd  0.000  0.000  0.500 (multiplicity 4)

E_tot: -2.847 eV/atom

***

Below is BaMgSiPd after structural relaxation, with properties calculated at the PBE-GGA level.

abc: 7.102 7.102 7.102
angles: 90.00 90.00 90.00
Space group F-43m (No. 216)
Inequivalent atoms, fractional coordinates:
Ba  0.000  0.000  0.000 (multiplicity 4)
Mg  0.250  0.250  0.750 (multiplicity 4)
Si  0.000  0.000  0.500 (multiplicity 4)
Pd  0.250  0.250  0.250 (multiplicity 4)

energy above the lowest structure with this stoichiometry: 0.0358 eV/atom

***

Below is BaMgSiPd after structural relaxation, with properties calculated at the PBE-GGA level.

abc: 7.272 7.272 7.272
angles: 90.00 90.00 90.00
Space group F-43m (No. 216)
Inequivalent atoms, fractional coordinates:
Ba  0.000  0.000  0.000 (multiplicity 4)
Mg  0.000  0.000  0.500 (multiplicity 4)
Si  0.250  0.250  0.250 (multiplicity 4)
Pd  0.250  0.250  0.750 (multiplicity 4)

energy above the lowest structure with this stoichiometry: 0.0000 eV/atom

***

Below is BaMgZrPd after structural relaxation, with properties calculated at the PBE-GGA level.

abc: 7.468 7.468 7.468
angles: 90.00 90.00 90.00
Space group F-43m (No. 216)
Inequivalent atoms, fractional coordinates:
Ba  0.000  0.000  0.000 (multiplicity 4)
Mg  0.250  0.250  0.750 (multiplicity 4)
Zr  0.000  0.000  0.500 (multiplicity 4)
Pd  0.250  0.250  0.250 (multiplicity 4)

energy above the lowest structure with this stoichiometry: 0.0235 eV/atom

***

Below is BaMgZrPd after structural relaxation, with properties calculated at the PBE-GGA level.

abc: 7.200 7.200 7.200
angles: 90.00 90.00 90.00
Space group F-43m (No. 216)
Inequivalent atoms, fractional coordinates:
Ba  0.000  0.000  0.000 (multiplicity 4)
Mg  0.250  0.250  0.250 (multiplicity 4)
Zr  0.250  0.250  0.750 (multiplicity 4)
Pd  0.000  0.000  0.500 (multiplicity 4)

energy above the lowest structure with this stoichiometry: 0.0000 eV/atom

***

Below is BaMgZrPd after structural relaxation, with properties calculated at the PBE-GGA level.

abc: 7.270 7.270 7.270
angles: 90.00 90.00 90.00
Space group F-43m (No. 216)
Inequivalent atoms, fractional coordinates:
Ba  0.000  0.000  0.000 (multiplicity 4)
Mg  0.000  0.000  0.500 (multiplicity 4)
Zr  0.250  0.250  0.250 (multiplicity 4)
Pd  0.250  0.250  0.750 (multiplicity 4)

energy above the lowest structure with this stoichiometry: 0.1225 eV/atom

***

Below is BaPmMg after structural relaxation, with properties calculated at the PBE-GGA level.

abc: 8.112 8.112 8.112
angles: 90.00 90.00 90.00
Space group F-43m (No. 216)
Inequivalent atoms, fractional coordinates:
Ba  0.000  0.000  0.000 (multiplicity 4)
Pm  0.000  0.000  0.500 (multiplicity 4)
Mg  0.250  0.250  0.250 (multiplicity 4)

E_tot: -2.327 eV/atom

***

Below is BaPrMg after structural relaxation, with properties calculated at the PBE-GGA level.

abc: 8.152 8.152 8.152
angles: 90.00 90.00 90.00
Space group F-43m (No. 216)
Inequivalent atoms, fractional coordinates:
Ba  0.000  0.000  0.000 (multiplicity 4)
Pr  0.000  0.000  0.500 (multiplicity 4)
Mg  0.250  0.250  0.250 (multiplicity 4)

E_tot: -2.363 eV/atom